## La2Hg2Pb (PBE)

Data for a relaxed structure of La2Hg2Pb.

Geometry as POSCAR:
```
La2Hg2Pb
1.0
8.989 0.000 0.000
0.000 8.989 0.000
0.000 0.000 3.916
La Hg Pb
4 4 2
Cartesian
1.476 3.019 0.000
3.019 7.514 0.000
5.970 1.476 0.000
7.514 5.970 0.000
1.205 5.699 1.958
3.290 1.205 1.958
5.699 7.785 1.958
7.785 3.290 1.958
0.000 0.000 0.000
4.495 4.495 0.000
```

Values from the calculation:
- energy (eV per cell) = -31.88
- formation energy from the elements (kJ/mol of formula units) = -171
- calculated volume (Å³ per cell) = 316.4